# Rb2NbFeF6

An optimized crystal structure of Rb2NbFeF6 (PBE with a Hubbard U, Alexandria via LeMat-Bulk).

The structure in extended XYZ format:
```
10
Lattice="6.1849 0.0000 0.0000 0.0000 6.1849 0.0000 3.0924 3.0924 4.2898" Properties=species:S:1:pos:R:3 pbc="T T T"
F 3.0924 3.0924 2.0445
F 1.5797 1.5797 0.0000
F 1.5797 4.6051 0.0000
F 4.6051 1.5797 0.0000
F 4.6051 4.6051 0.0000
F 6.1849 6.1849 2.2453
Rb 6.1849 3.0924 2.1449
Rb 3.0924 6.1849 2.1449
Nb 0.0000 0.0000 0.0000
Fe 3.0924 3.0924 0.0000
```

Values from the calculation:
* space-group type: I4/mmm
* final energy: -5.325 eV per atom
* size of the total moment: 0.100 μB/atom
* volume: 16.41 Å³ per atom